(1)
Below is a geometry-optimized Tc3PIr structure, with properties calculated at the PBE level.

```
Tc3PIr
1.0
4.6980 0.0000 0.0000
0.0000 4.6980 0.0000
0.0000 0.0000 4.6980
Ir Tc P
1 3 1
Cartesian
0.0000 0.0000 0.0000 Ir
0.0000 2.3490 0.0000 Tc
0.0000 0.0000 2.3490 Tc
2.3490 0.0000 0.0000 Tc
2.3490 2.3490 2.3490 P
```

Values from the calculation:
* formation energy from the elements: 1.958 eV per atom
* ΔE to the lowest computed polymorph: 6.530 eV per formula unit

(2)
Below is a geometry-optimized Re2SeBr structure, with properties calculated at the PBE level.

```
Re2SeBr
1.0
8.3596 0.0072 0.0043
7.8060 2.9914 0.0043
7.8060 1.4480 2.6176
Re Se Br
2 1 1
Cartesian
23.8315 4.4207 2.6108 Re
12.1259 2.2493 1.3284 Re
5.9929 1.1117 0.6565 Se
17.9787 3.3350 1.9696 Br
```

Values from the calculation:
* formation energy from raw total energies: 0.937 eV per atom
* ΔE to the lowest computed polymorph: 3.006 eV per formula unit

(3)
Below is a geometry-optimized InNi2P structure, with properties calculated at the PBE level.

```
InNi2P
1.0
-0.0515 3.6877 -3.8508
-5.9236 0.8495 0.8928
1.4561 5.1008 4.8079
In P Ni
4 4 8
Cartesian
-2.3702 7.9320 1.8394 In
-2.1487 1.7060 0.0105 In
-3.9739 6.3219 4.0103 In
-0.5450 3.3161 -2.1605 In
-1.7522 4.2613 2.6103 P
0.5450 5.7719 0.3348 P
-5.0639 3.8661 1.5150 P
-2.7667 5.3768 -0.7604 P
-3.9834 3.5188 -0.3704 Ni
-3.8758 3.6386 3.4758 Ni
-4.3464 1.7307 1.6136 Ni
-0.5356 6.1192 2.2202 Ni
-3.3524 5.4036 1.4676 Ni
-1.1666 4.2344 0.3822 Ni
-0.1726 7.9073 0.2362 Ni
-0.6431 5.9995 -1.6259 Ni
```

Values from the calculation:
* formation energy from the elements: -0.362 eV per atom

Number 1: total energy -7.116 eV/atom. Number 2: total energy -6.576 eV/atom. Number 3: total energy -5.290 eV/atom.